No. 1
# Np5Cd3Te12, optimized geometry, DFT PBE
# - Crystal system: cubic
# - Formation energy (no corrections): -0.125 eV/atom
# - Magnetization: 0.85 μB/atom
# - DOS(E_F): 2.61 states/eV/atom
data_Np5Cd3Te12
_symmetry_space_group_name_H-M 'P 1'
_symmetry_Int_Tables_number 1
_cell_length_a 15.730
_cell_length_b 15.730
_cell_length_c 15.730
_cell_angle_alpha 109.47
_cell_angle_beta 109.47
_cell_angle_gamma 109.47
loop_
_symmetry_equiv_pos_as_xyz
'x,y,z'
loop_
_atom_site_label
_atom_site_type_symbol
_atom_site_fract_x
_atom_site_fract_y
_atom_site_fract_z
Cd1 Cd 0.750 0.375 0.125
Cd2 Cd 0.875 0.750 0.125
Cd3 Cd 0.375 0.750 0.625
Cd4 Cd 0.250 0.125 0.375
Cd5 Cd 0.875 0.125 0.250
Cd6 Cd 0.375 0.625 0.250
Cd7 Cd 0.625 0.375 0.750
Cd8 Cd 0.125 0.875 0.750
Cd9 Cd 0.750 0.875 0.625
Cd10 Cd 0.625 0.250 0.375
Cd11 Cd 0.125 0.250 0.875
Cd12 Cd 0.250 0.625 0.875
Np1 Np 0.125 0.375 0.250
Np2 Np 0.000 0.500 0.000
Np3 Np 0.000 0.000 0.000
Np4 Np 0.375 0.250 0.125
Np5 Np 0.500 0.000 0.500
Np6 Np 0.500 0.500 0.000
Np7 Np 0.125 0.750 0.375
Np8 Np 0.750 0.125 0.875
Np9 Np 0.750 0.625 0.375
Np10 Np 0.375 0.125 0.750
Np11 Np 0.625 0.875 0.250
Np12 Np 0.500 0.500 0.500
Np13 Np 0.500 0.000 0.000
Np14 Np 0.000 0.000 0.500
Np15 Np 0.250 0.375 0.625
Np16 Np 0.250 0.875 0.125
Np17 Np 0.000 0.500 0.500
Np18 Np 0.875 0.250 0.625
Np19 Np 0.625 0.750 0.875
Np20 Np 0.875 0.625 0.750
Te1 Te 0.726 0.116 0.051
Te2 Te 0.325 0.551 0.435
Te3 Te 0.949 0.384 0.274
Te4 Te 0.551 0.226 0.116
Te5 Te 0.610 0.726 0.675
Te6 Te 0.949 0.565 0.175
Te7 Te 0.325 0.774 0.390
Te8 Te 0.065 0.890 0.116
Te9 Te 0.565 0.949 0.675
Te10 Te 0.726 0.610 0.175
Te11 Te 0.774 0.449 0.384
Te12 Te 0.825 0.935 0.051
Te13 Te 0.116 0.726 0.551
Te14 Te 0.384 0.435 0.110
Te15 Te 0.110 0.935 0.384
Te16 Te 0.390 0.116 0.565
Te17 Te 0.110 0.175 0.226
Te18 Te 0.449 0.675 0.065
Te19 Te 0.825 0.890 0.274
Te20 Te 0.116 0.390 0.065
Te21 Te 0.384 0.949 0.774
Te22 Te 0.565 0.616 0.390
Te23 Te 0.935 0.825 0.551
Te24 Te 0.774 0.325 0.890
Te25 Te 0.435 0.384 0.610
Te26 Te 0.065 0.175 0.449
Te27 Te 0.226 0.675 0.110
Te28 Te 0.175 0.110 0.726
Te29 Te 0.616 0.051 0.226
Te30 Te 0.884 0.610 0.935
Te31 Te 0.551 0.325 0.935
Te32 Te 0.610 0.884 0.435
Te33 Te 0.890 0.825 0.774
Te34 Te 0.890 0.065 0.616
Te35 Te 0.884 0.274 0.449
Te36 Te 0.175 0.065 0.949
Te37 Te 0.616 0.565 0.890
Te38 Te 0.435 0.051 0.325
Te39 Te 0.274 0.390 0.825
Te40 Te 0.226 0.551 0.616
Te41 Te 0.935 0.110 0.884
Te42 Te 0.675 0.226 0.610
Te43 Te 0.449 0.774 0.884
Te44 Te 0.051 0.435 0.825
Te45 Te 0.390 0.274 0.325
Te46 Te 0.051 0.616 0.726
Te47 Te 0.675 0.449 0.565
Te48 Te 0.274 0.884 0.949

No. 2
# RbU4Se6, optimized geometry, DFT PBE
# - Crystal system: orthorhombic
# - Formation energy (no corrections): -1.091 eV/atom
# - E above lowest polymorph: 0 meV per atom
# - Magnetization: 0.06 μB/atom
# - DOS(E_F): 1.67 states/eV/atom
data_RbU4Se6
_symmetry_space_group_name_H-M 'P 1'
_symmetry_Int_Tables_number 1
_cell_length_a 4.055
_cell_length_b 7.150
_cell_length_c 21.489
_cell_angle_alpha 90.00
_cell_angle_beta 90.00
_cell_angle_gamma 106.47
loop_
_symmetry_equiv_pos_as_xyz
'x,y,z'
loop_
_atom_site_label
_atom_site_type_symbol
_atom_site_fract_x
_atom_site_fract_y
_atom_site_fract_z
Rb1 Rb 0.672 0.343 0.250
Rb2 Rb 0.328 0.657 0.750
U1 U 0.859 0.718 0.536
U2 U 0.409 0.818 0.123
U3 U 0.141 0.282 0.464
U4 U 0.591 0.182 0.877
U5 U 0.859 0.718 0.964
U6 U 0.141 0.282 0.036
U7 U 0.591 0.182 0.623
U8 U 0.409 0.818 0.377
Se1 Se 0.500 0.000 0.000
Se2 Se 0.500 0.000 0.500
Se3 Se 0.045 0.090 0.347
Se4 Se 0.955 0.910 0.653
Se5 Se 0.955 0.910 0.847
Se6 Se 0.045 0.090 0.153
Se7 Se 0.768 0.536 0.411
Se8 Se 0.232 0.464 0.589
Se9 Se 0.232 0.464 0.911
Se10 Se 0.768 0.536 0.089
Se11 Se 0.366 0.732 0.250
Se12 Se 0.634 0.268 0.750

Question: What is the formula in the first record?
Answer: Np5Cd3Te12

Question: Which value of DOS(E_F) does entry 1 give?
Answer: 2.61 states/eV/atom

Question: Among the records above, which one has the lowest formation energy (no corrections)?
Answer: RbU4Se6

Copy entry 2 word for word.
# RbU4Se6, optimized geometry, DFT PBE
# - Crystal system: orthorhombic
# - Formation energy (no corrections): -1.091 eV/atom
# - E above lowest polymorph: 0 meV per atom
# - Magnetization: 0.06 μB/atom
# - DOS(E_F): 1.67 states/eV/atom
data_RbU4Se6
_symmetry_space_group_name_H-M 'P 1'
_symmetry_Int_Tables_number 1
_cell_length_a 4.055
_cell_length_b 7.150
_cell_length_c 21.489
_cell_angle_alpha 90.00
_cell_angle_beta 90.00
_cell_angle_gamma 106.47
loop_
_symmetry_equiv_pos_as_xyz
'x,y,z'
loop_
_atom_site_label
_atom_site_type_symbol
_atom_site_fract_x
_atom_site_fract_y
_atom_site_fract_z
Rb1 Rb 0.672 0.343 0.250
Rb2 Rb 0.328 0.657 0.750
U1 U 0.859 0.718 0.536
U2 U 0.409 0.818 0.123
U3 U 0.141 0.282 0.464
U4 U 0.591 0.182 0.877
U5 U 0.859 0.718 0.964
U6 U 0.141 0.282 0.036
U7 U 0.591 0.182 0.623
U8 U 0.409 0.818 0.377
Se1 Se 0.500 0.000 0.000
Se2 Se 0.500 0.000 0.500
Se3 Se 0.045 0.090 0.347
Se4 Se 0.955 0.910 0.653
Se5 Se 0.955 0.910 0.847
Se6 Se 0.045 0.090 0.153
Se7 Se 0.768 0.536 0.411
Se8 Se 0.232 0.464 0.589
Se9 Se 0.232 0.464 0.911
Se10 Se 0.768 0.536 0.089
Se11 Se 0.366 0.732 0.250
Se12 Se 0.634 0.268 0.750